Below is a relaxed Cu2MoSeO7 crystal, with properties calculated at the PBE+U level.

Lattice parameters (Å, degrees): 8.418 9.182 8.460 90.00 104.30 90.00
Space group P2_1/c (No. 14)
Inequivalent atoms, fractional coordinates:
Cu 0.186 0.008 0.474 (multiplicity 4)
Cu 0.189 0.008 0.118 (multiplicity 4)
Mo 0.372 0.709 0.341 (multiplicity 4)
Se 0.187 0.174 0.795 (multiplicity 4)
O 0.070 0.110 0.924 (multiplicity 4)
O 0.070 0.114 0.608 (multiplicity 4)
O 0.119 0.141 0.280 (multiplicity 4)
O 0.275 0.607 0.818 (multiplicity 4)
O 0.314 0.604 0.157 (multiplicity 4)
O 0.321 0.609 0.504 (multiplicity 4)
O 0.413 0.230 0.110 (multiplicity 4)

Properties
* ρ: 4.34 g cm⁻³
* final energy: -5.817 eV per atom